No. 1
Material: SrFe2Te
Method: DFT, PBE
State: relaxed

Summary:
V	92	Å³/cell
crystal system	tetragonal
SG	No. 123
total moment	5.9	Bohr magnetons per cell
formation energy (no corrections)	0.358	eV/atom

extended XYZ file:
```
4
Lattice="3.723 0.000 0.000 0.000 3.723 0.000 0.000 0.000 6.603" Properties=species:S:1:pos:R:3 pbc="T T T"
Sr 0.000 0.000 0.000
Fe 1.862 1.862 2.153
Fe 1.862 1.862 4.450
Te 0.000 0.000 3.302
```

=====

No. 2
Material: SrFeTe2
Method: DFT, PBE
State: relaxed

Summary:
V	124	Å³/cell
crystal system	monoclinic
SG	No. 10
total moment	3.0	Bohr magnetons per cell
formation energy (no corrections)	-0.481	eV/atom

extended XYZ file:
```
4
Lattice="4.381 0.000 0.000 0.000 3.946 0.000 -1.130 0.000 7.189" Properties=species:S:1:pos:R:3 pbc="T T T"
Sr 0.000 0.000 0.000
Fe 1.625 0.000 3.595
Te 1.100 1.973 5.309
Te 2.151 1.973 1.881
```

=====

No. 3
Material: Sr2FeTe4
Method: DFT, PBE
State: relaxed

Summary:
V	228	Å³/cell
crystal system	tetragonal
SG	No. 139
total moment	3.4	Bohr magnetons per cell
formation energy (no corrections)	-0.737	eV/atom

extended XYZ file:
```
7
Lattice="-2.539 2.539 8.860 2.539 -2.539 8.860 2.539 2.539 -8.860" Properties=species:S:1:pos:R:3 pbc="T T T"
Sr 0.000 0.000 2.621
Sr 0.000 0.000 15.099
Fe 0.000 0.000 8.860
Te 2.539 0.000 0.000
Te 0.000 0.000 5.931
Te 0.000 2.539 0.000
Te 0.000 0.000 11.789
```

=====

No. 4
Material: SrFeTe2
Method: DFT, PBE
State: relaxed

Summary:
V	136	Å³/cell
crystal system	monoclinic
SG	No. 6
total moment	4.0	Bohr magnetons per cell
formation energy (no corrections)	-0.557	eV/atom

extended XYZ file:
```
4
Lattice="4.652 0.000 0.000 0.000 4.646 0.000 -2.322 0.000 6.306" Properties=species:S:1:pos:R:3 pbc="T T T"
Sr 0.000 0.000 0.000
Fe 2.326 2.323 1.604
Te 0.005 2.323 5.392
Te 2.317 0.000 2.742
```